# 1
Density functional theory data (GGA-PBE) for an optimized crystal structure of MnCr2I6.

Lattice parameters (Å, degrees): 9.6850 9.6850 8.7976 108.05 108.05 24.67
Positions (direct):
Mn  0.0000  0.0000  0.0000
Cr  0.3330  0.3330  0.6662
Cr  0.6670  0.6670  0.3338
I  0.1602  0.1602  0.1004
I  0.1745  0.1745  0.5666
I  0.4925  0.4925  0.7625
I  0.5075  0.5075  0.2375
I  0.8255  0.8255  0.4334
I  0.8398  0.8398  0.8996

## Properties
- energy relative to the elements, uncorrected (eV per atom) = -0.318

# 2
Density functional theory data (GGA-PBE) for an optimized crystal structure of TiGa2Ir3.

Lattice parameters (Å, degrees): 2.9433 2.9433 10.0934 90.00 90.00 90.00
Positions (direct):
Ti  0.0000  0.0000  0.0000
Ga  0.0000  0.0000  0.3378
Ga  0.0000  0.0000  0.6622
Ir  0.5000  0.5000  0.1735
Ir  0.5000  0.5000  0.5000
Ir  0.5000  0.5000  0.8265

## Properties
- DFT formation energy (eV per formula unit) = -3.56
- energy above the lowest structure with this stoichiometry (eV per formula unit) = 0.00

# 3
Density functional theory data (GGA-PBE) for an optimized crystal structure of Ga2TcSeS.

Lattice parameters (Å, degrees): 4.9820 4.9820 4.5855 90.00 90.00 90.00
Positions (direct):
Ga  0.0000  0.5000  0.0000
Ga  0.5000  0.0000  0.0000
Tc  0.0000  0.0000  0.0000
Se  0.0000  0.0000  0.5000
S  0.5000  0.5000  0.5000

## Properties
- energy relative to the elements, uncorrected (eV per atom) = 0.295

# 4
Density functional theory data (GGA-PBE) for an optimized crystal structure of Re2SeF.

Lattice parameters (Å, degrees): 5.3548 5.3548 5.3548 104.89 104.89 119.07
Positions (direct):
Re  0.0879  0.6250  0.9629
Re  0.3750  0.3379  0.4629
Re  0.6621  0.1250  0.0371
Re  0.8750  0.9121  0.5371
Se  0.2500  0.7500  0.5000
Se  0.5000  0.5000  0.0000
F  0.0000  0.0000  0.0000
F  0.7500  0.2500  0.5000

## Properties
- energy above the lowest structure with this stoichiometry (eV per formula unit) = 0.69
- energy relative to the elements, uncorrected (eV per atom) = 0.774

# 5
Density functional theory data (GGA-PBE) for an optimized crystal structure of CsTaBe.

Lattice parameters (Å, degrees): 5.0843 5.0843 5.9551 90.00 90.00 120.00
Positions (direct):
Cs  0.0000  0.0000  0.0000
Cs  0.0000  0.0000  0.5000
Ta  0.3333  0.6667  0.1326
Ta  0.6667  0.3333  0.6326
Be  0.3333  0.6667  0.6756
Be  0.6667  0.3333  0.1756

## Properties
- DFT formation energy (eV per formula unit) = 5.97
- energy above the lowest structure with this stoichiometry (eV per formula unit) = 4.55

# 6
Density functional theory data (GGA-PBE) for an optimized crystal structure of CsNa3Hg2.

Lattice parameters (Å, degrees): 12.1614 12.1614 5.2544 90.00 90.00 120.00
Positions (direct):
Cs  0.0000  0.0000  0.0000
Cs  0.3333  0.6667  0.5000
Cs  0.6667  0.3333  0.5000
Na  0.0000  0.2972  0.5000
Na  0.0000  0.5000  0.0000
Na  0.0000  0.7028  0.5000
Na  0.2972  0.0000  0.5000
Na  0.2972  0.2972  0.5000
Na  0.5000  0.0000  0.0000
Na  0.5000  0.5000  0.0000
Na  0.7028  0.0000  0.5000
Na  0.7028  0.7028  0.5000
Hg  0.1872  0.3744  0.0000
Hg  0.1872  0.8128  0.0000
Hg  0.3744  0.1872  0.0000
Hg  0.6256  0.8128  0.0000
Hg  0.8128  0.1872  0.0000
Hg  0.8128  0.6256  0.0000

## Properties
- DFT formation energy (eV per formula unit) = -1.00
- energy above the lowest structure with this stoichiometry (eV per formula unit) = 0.05

# 7
Density functional theory data (GGA-PBE) for an optimized crystal structure of Sm2Er7Sc3.

Lattice parameters (Å, degrees): 18.5516 18.5516 3.5142 90.00 90.00 162.55
Positions (direct):
Sm  0.1746  0.8254  0.0000
Sm  0.8254  0.1746  0.0000
Er  0.0000  0.0000  0.0000
Er  0.0890  0.9110  0.5000
Er  0.2730  0.7270  0.0000
Er  0.4297  0.5703  0.0000
Er  0.5703  0.4297  0.0000
Er  0.7270  0.2730  0.0000
Er  0.9110  0.0890  0.5000
Sc  0.3524  0.6476  0.5000
Sc  0.5000  0.5000  0.5000
Sc  0.6476  0.3524  0.5000

## Properties
- DFT formation energy (eV per formula unit) = 1.80

# 8
Density functional theory data (GGA-PBE) for an optimized crystal structure of HgP2H6Se.

Lattice parameters (Å, degrees): 6.3190 6.3190 7.2090 90.00 90.00 88.41
Positions (direct):
Hg  0.0827  0.9173  0.7500
Hg  0.9173  0.0827  0.2500
P  0.2285  0.3703  0.7500
P  0.3703  0.2285  0.2500
P  0.6297  0.7715  0.7500
P  0.7715  0.6297  0.2500
H  0.0118  0.6348  0.2500
H  0.2395  0.5143  0.5978
H  0.2395  0.5143  0.9022
H  0.3652  0.9882  0.2500
H  0.4857  0.7605  0.5978
H  0.4857  0.7605  0.9022
H  0.5143  0.2395  0.0978
H  0.5143  0.2395  0.4022
H  0.6348  0.0118  0.7500
H  0.7605  0.4857  0.0978
H  0.7605  0.4857  0.4022
H  0.9882  0.3652  0.7500
Se  0.3434  0.6566  0.2500
Se  0.6566  0.3434  0.7500

## Properties
- E (eV per atom) = -3.33